A geometry-optimized Tm3Th2Sc2 structure, computed with PBE.

Values from the calculation:
**Relative energy among the computed polymorphs**: 0 meV per atom
**Formation enthalpy at 0 K**: 0.0451 eV per atom
**DOS at the Fermi energy**: 11.11 states/eV/f.u.

a b c (Å): 5.1520 23.1695 3.4318
angles (deg): 90.00 90.00 90.00
Space group Cmmm (No. 65)
Inequivalent atoms, fractional coordinates:
Tm (0.0000, 0.0000, 0.0000)
Tm (0.0000, 0.4259, 0.5000)
Th (0.0000, 0.1526, 0.0000)
Sc (0.0000, 0.2850, 0.5000)